This record from the Alexandria database describes CeTe2PdN after structural relaxation. The functional is GGA-PBE.

Theoretical density: 7.5 Mg/m³
Total energy: -6.057 eV per atom
Spin magnetization: 0.0 μB/cell
Crystal system: tetragonal

```
data_CeTe2PdN
_chemical_formula_sum 'Ce2 Te4 Pd2 N2'
_symmetry_space_group_name_H-M 'P 4/n m m'
_symmetry_Int_Tables_number 129
_cell_length_a 3.991
_cell_length_b 3.991
_cell_length_c 14.375
_cell_angle_alpha 90.00
_cell_angle_beta 90.00
_cell_angle_gamma 90.00
loop_
_symmetry_equiv_pos_as_xyz
'x,y,z'
'-x,-y,-z'
'-y+1/2,x,z'
'y+1/2,-x,-z'
'-x+1/2,-y+1/2,z'
'x+1/2,y+1/2,-z'
'y,-x+1/2,z'
'-y,x+1/2,-z'
'x+1/2,-y,-z'
'-x+1/2,y,z'
'-y,-x,-z'
'y,x,z'
'-x,y+1/2,-z'
'x,-y+1/2,z'
'y+1/2,x+1/2,-z'
'-y+1/2,-x+1/2,z'
loop_
_atom_site_label
_atom_site_type_symbol
_atom_site_fract_x
_atom_site_fract_y
_atom_site_fract_z
Ce1 Ce 0.250 0.250 0.078
Te1 Te 0.250 0.250 0.416
Te2 Te 0.250 0.250 0.786
Pd1 Pd 0.250 0.250 0.601
N1 N 0.250 0.750 0.000
```

This record from the Alexandria database describes Ir2Se after structural relaxation. The functional is GGA-PBE.

Theoretical density: 15.9 Mg/m³
Total energy: -6.534 eV per atom
Spin magnetization: 0.0 μB/cell
Crystal system: hexagonal
Relative energy among the computed polymorphs: 1.58 eV per formula unit

```
data_Ir2Se
_chemical_formula_sum 'Ir6 Se3'
_symmetry_space_group_name_H-M 'P -6 2 m'
_symmetry_Int_Tables_number 189
_symmetry_space_group_name_Hall 'P -6 -2'
_cell_length_a 7.0342
_cell_length_b 7.0342
_cell_length_c 3.3820
_cell_angle_alpha 90.00
_cell_angle_beta 90.00
_cell_angle_gamma 120.00
loop_
_atom_site_label
_atom_site_type_symbol
_atom_site_fract_x
_atom_site_fract_y
_atom_site_fract_z
Ir1 Ir 0.0000 0.3291 0.0000
Ir2 Ir 0.0000 0.6659 0.5000
Se1 Se 0.0000 0.0000 0.5000
Se2 Se 0.3333 0.6667 0.0000
```

This record from the Alexandria database describes Dy12CoAg6 after structural relaxation. The functional is GGA-PBE.

Theoretical density: 8.5 Mg/m³
Total energy: -4.287 eV per atom
Spin magnetization: 0.0 μB/cell
Crystal system: trigonal
Formation enthalpy at 0 K: -0.106 eV per atom

```
data_Dy12CoAg6
_chemical_formula_sum 'Dy36 Co3 Ag18'
_symmetry_space_group_name_H-M 'R -3'
_symmetry_Int_Tables_number 148
_symmetry_space_group_name_Hall '-R 3'
_cell_length_a 11.7284
_cell_length_b 11.7284
_cell_length_c 13.0473
_cell_angle_alpha 90.00
_cell_angle_beta 90.00
_cell_angle_gamma 120.00
loop_
_atom_site_label
_atom_site_type_symbol
_atom_site_fract_x
_atom_site_fract_y
_atom_site_fract_z
Dy1 Dy 0.0321 0.8435 0.3787
Dy2 Dy 0.0381 0.1910 0.8889
Co1 Co 0.0000 0.0000 0.5000
Ag1 Ag 0.0026 0.3957 0.7564
```

This record from the Alexandria database describes Cs2LiTbCl6 after structural relaxation. The functional is GGA-PBE.

Theoretical density: 3.4 Mg/m³
Total energy: -4.062 eV per atom
Spin magnetization: 0.0 μB/cell
Crystal system: trigonal

```
data_Cs2LiTbCl6
_chemical_formula_sum 'Cs12 Li6 Tb6 Cl36'
_symmetry_space_group_name_H-M 'R -3 m'
_symmetry_Int_Tables_number 166
_symmetry_space_group_name_Hall '-R 3 2"'
_cell_length_a 7.5667
_cell_length_b 7.5667
_cell_length_c 37.6379
_cell_angle_alpha 90.00
_cell_angle_beta 90.00
_cell_angle_gamma 120.00
loop_
_atom_site_label
_atom_site_type_symbol
_atom_site_fract_x
_atom_site_fract_y
_atom_site_fract_z
Cs1 Cs 0.0000 0.0000 0.1283
Cs2 Cs 0.0000 0.0000 0.2896
Li1 Li 0.0000 0.0000 0.0000
Li2 Li 0.0000 0.0000 0.5000
Tb1 Tb 0.0000 0.0000 0.4124
Cl1 Cl 0.0035 0.5017 0.7070
Cl2 Cl 0.0186 0.5093 0.1239
```

This record from the Alexandria database describes Rb2SrI6F after structural relaxation. The functional is GGA-PBE.

Theoretical density: 3.6 Mg/m³
Total energy: -2.479 eV per atom
Spin magnetization: 0.0 μB/cell
Crystal system: tetragonal

```
data_Rb2SrI6F
_chemical_formula_sum 'Rb4 Sr2 I12 F2'
_symmetry_space_group_name_H-M 'I 4/m m m'
_symmetry_Int_Tables_number 139
_symmetry_space_group_name_Hall '-I 4 2'
_cell_length_a 9.308
_cell_length_b 9.308
_cell_length_c 11.029
_cell_angle_alpha 90.00
_cell_angle_beta 90.00
_cell_angle_gamma 90.00
loop_
_atom_site_label
_atom_site_type_symbol
_atom_site_fract_x
_atom_site_fract_y
_atom_site_fract_z
Rb1 Rb 0.000 0.500 0.250
Sr1 Sr 0.000 0.000 0.000
I1 I 0.000 0.000 0.296
I2 I 0.242 0.242 0.000
F1 F 0.000 0.000 0.500
```

This record from the Alexandria database describes K8P after structural relaxation. The functional is GGA-PBE.

Theoretical density: 1.0 Mg/m³
Total energy: -1.569 eV per atom
Spin magnetization: 0.0 μB/cell
Crystal system: tetragonal
Formation enthalpy at 0 K: 0.008 eV per atom

```
data_K8P
_chemical_formula_sum 'K16 P2'
_symmetry_space_group_name_H-M 'I 4/m m m'
_symmetry_Int_Tables_number 139
_symmetry_space_group_name_Hall '-I 4 2'
_cell_length_a 15.263
_cell_length_b 15.263
_cell_length_c 4.686
_cell_angle_alpha 90.00
_cell_angle_beta 90.00
_cell_angle_gamma 90.00
loop_
_atom_site_label
_atom_site_type_symbol
_atom_site_fract_x
_atom_site_fract_y
_atom_site_fract_z
K1 K 0.000 0.329 0.000
K2 K 0.115 0.115 0.500
P1 P 0.000 0.000 0.000
```